[1]
First-principles (PBEsol) data for CuH6BrN2 after structural relaxation, as listed in the Alexandria database.

Properties
- Theoretical density: 2.73 Mg/m³
- Magnetic moment: 0.00 μB per atom
- Raw total energy: -47.45 eV per formula unit
- Calculated volume: 108 Å³/f.u.

Structure (CIF):
```
data_CuH6BrN2
_chemical_formula_sum 'Cu4 H24 Br4 N8'
_cell_length_a 6.844
_cell_length_b 12.433
_cell_length_c 5.495
_cell_angle_alpha 90.00
_cell_angle_beta 112.44
_cell_angle_gamma 90.00
_symmetry_space_group_name_H-M 'C 1 2/c 1'
_symmetry_Int_Tables_number 15
_symmetry_space_group_name_Hall '-C 2yc'
loop_
_atom_site_label
_atom_site_fract_x
_atom_site_fract_y
_atom_site_fract_z
Cu1 0.000 0.000 0.000
H1 0.102 0.192 0.095
H2 0.213 0.388 0.707
H3 0.232 0.373 0.018
Br1 0.000 0.364 0.250
N1 0.180 0.120 0.100
```

=====

[2]
First-principles (PBEsol) data for Si2PbAu after structural relaxation, as listed in the Alexandria database.

Properties
- Theoretical density: 9.88 Mg/m³
- Magnetic moment: 0.00 μB per atom
- E_form (uncorrected): 0.23 eV per atom
- Calculated volume: 77 Å³/f.u.

Structure (CIF):
```
data_Si2PbAu
_chemical_formula_sum 'Si2 Pb1 Au1'
_cell_length_a 3.286
_cell_length_b 3.286
_cell_length_c 7.168
_cell_angle_alpha 90.00
_cell_angle_beta 90.00
_cell_angle_gamma 90.00
_symmetry_space_group_name_H-M 'P 4 m m'
_symmetry_Int_Tables_number 99
_symmetry_space_group_name_Hall 'P 4 -2'
loop_
_atom_site_label
_atom_site_fract_x
_atom_site_fract_y
_atom_site_fract_z
Si1 0.000 0.000 0.000
Si2 0.500 0.500 0.153
Pb1 0.500 0.500 0.655
Au1 0.000 0.000 0.368
```

=====

[3]
First-principles (PBEsol) data for Sr2RuN2 after structural relaxation, as listed in the Alexandria database.

Properties
- Theoretical density: 5.41 Mg/m³
- Magnetic moment: 0.00 μB per atom
- E_form (uncorrected): -0.53 eV per atom
- Calculated volume: 93 Å³/f.u.

Structure (CIF):
```
data_Sr2RuN2
_chemical_formula_sum 'Sr4 Ru2 N4'
_cell_length_a 3.859
_cell_length_b 3.859
_cell_length_c 12.540
_cell_angle_alpha 90.00
_cell_angle_beta 90.00
_cell_angle_gamma 90.00
_symmetry_space_group_name_H-M 'I 4/m m m'
_symmetry_Int_Tables_number 139
_symmetry_space_group_name_Hall '-I 4 2'
loop_
_atom_site_label
_atom_site_fract_x
_atom_site_fract_y
_atom_site_fract_z
Sr1 0.000 0.000 0.142
Ru1 0.000 0.000 0.500
N1 0.000 0.000 0.356
```

=====

[4]
First-principles (PBEsol) data for Ba2AgHg after structural relaxation, as listed in the Alexandria database.

Properties
- Theoretical density: 6.86 Mg/m³
- Magnetic moment: 0.00 μB per atom
- Formation energy from the elements: -0.367 eV per atom
- Calculated volume: 141 Å³/f.u.

Structure (CIF):
```
data_Ba2AgHg
_chemical_formula_sum 'Ba4 Ag2 Hg2'
_cell_length_a 5.094
_cell_length_b 4.532
_cell_length_c 12.229
_cell_angle_alpha 90.00
_cell_angle_beta 90.00
_cell_angle_gamma 90.00
_symmetry_space_group_name_H-M 'A m m 2'
_symmetry_Int_Tables_number 38
_symmetry_space_group_name_Hall 'A 2 -2'
loop_
_atom_site_label
_atom_site_fract_x
_atom_site_fract_y
_atom_site_fract_z
Ba1 0.000 0.000 0.000
Ba2 0.500 0.000 0.279
Ag1 0.000 0.000 0.707
Hg1 0.500 0.000 0.570
```

=====

[5]
First-principles (PBEsol) data for LiNiCl2 after structural relaxation, as listed in the Alexandria database.

Properties
- Theoretical density: 3.69 Mg/m³
- Magnetic moment: 0.25 μB per atom
- E_form (uncorrected): -0.81 eV per atom
- Calculated volume: 61 Å³/f.u.

Structure (CIF):
```
data_LiNiCl2
_chemical_formula_sum 'Li3 Ni3 Cl6'
_cell_length_a 3.5534
_cell_length_b 3.5534
_cell_length_c 16.8547
_cell_angle_alpha 90.00
_cell_angle_beta 90.00
_cell_angle_gamma 120.00
_symmetry_space_group_name_H-M 'R -3 m'
_symmetry_Int_Tables_number 166
_symmetry_space_group_name_Hall '-R 3 2"'
loop_
_atom_site_label
_atom_site_fract_x
_atom_site_fract_y
_atom_site_fract_z
Li1 0.0000 0.0000 0.0000
Ni1 0.0000 0.0000 0.5000
Cl1 0.0000 0.0000 0.2462
```

=====

[6]
First-principles (PBEsol) data for BeFe3S after structural relaxation, as listed in the Alexandria database.

Properties
- Theoretical density: 5.72 Mg/m³
- Magnetic moment: 1.52 μB per atom
- E_form (uncorrected): 0.71 eV per atom
- Calculated volume: 61 Å³/f.u.

Structure (CIF):
```
data_BeFe3S
_chemical_formula_sum 'Be1 Fe3 S1'
_cell_length_a 3.926
_cell_length_b 3.926
_cell_length_c 3.926
_cell_angle_alpha 90.00
_cell_angle_beta 90.00
_cell_angle_gamma 90.00
_symmetry_space_group_name_H-M 'P m -3 m'
_symmetry_Int_Tables_number 221
_symmetry_space_group_name_Hall '-P 4 2 3'
loop_
_atom_site_label
_atom_site_fract_x
_atom_site_fract_y
_atom_site_fract_z
Be1 0.000 0.000 0.000
Fe1 0.000 0.000 0.500
S1 0.500 0.500 0.500
```

=====

[7]
First-principles (PBEsol) data for Cd2TePb after structural relaxation, as listed in the Alexandria database.

Properties
- Theoretical density: 8.87 Mg/m³
- Magnetic moment: 0.00 μB per atom
- E_form (uncorrected): -0.02 eV per atom
- Calculated volume: 105 Å³/f.u.

Structure (CIF):
```
data_Cd2TePb
_chemical_formula_sum 'Cd2 Te1 Pb1'
_cell_length_a 3.866
_cell_length_b 3.866
_cell_length_c 7.009
_cell_angle_alpha 90.00
_cell_angle_beta 90.00
_cell_angle_gamma 90.00
_symmetry_space_group_name_H-M 'P 4 m m'
_symmetry_Int_Tables_number 99
_symmetry_space_group_name_Hall 'P 4 -2'
loop_
_atom_site_label
_atom_site_fract_x
_atom_site_fract_y
_atom_site_fract_z
Cd1 0.000 0.000 0.000
Cd2 0.500 0.500 0.230
Te1 0.500 0.500 0.805
Pb1 0.000 0.000 0.467
```

=====

[8]
First-principles (PBEsol) data for ScBeFe2 after structural relaxation, as listed in the Alexandria database.

Properties
- Theoretical density: 5.62 Mg/m³
- Magnetic moment: 0.86 μB per atom
- Formation energy from the elements: 0.048 eV per atom
- Calculated volume: 49 Å³/f.u.

Structure (CIF):
```
data_ScBeFe2
_chemical_formula_sum 'Sc2 Be2 Fe4'
_cell_length_a 3.356
_cell_length_b 3.873
_cell_length_c 7.530
_cell_angle_alpha 90.00
_cell_angle_beta 90.00
_cell_angle_gamma 90.00
_symmetry_space_group_name_H-M 'I m m 2'
_symmetry_Int_Tables_number 44
_symmetry_space_group_name_Hall 'I 2 -2'
loop_
_atom_site_label
_atom_site_fract_x
_atom_site_fract_y
_atom_site_fract_z
Sc1 0.000 0.000 0.000
Be1 0.000 0.500 0.765
Fe1 0.000 0.000 0.496
Fe2 0.000 0.500 0.241
```

=====

[9]
First-principles (PBEsol) data for AlW3F after structural relaxation, as listed in the Alexandria database.

Properties
- Theoretical density: 10.56 Mg/m³
- Magnetic moment: 0.00 μB per atom
- E_form (uncorrected): 2.44 eV per atom
- Calculated volume: 94 Å³/f.u.

Structure (CIF):
```
data_AlW3F
_chemical_formula_sum 'Al1 W3 F1'
_cell_length_a 4.545
_cell_length_b 4.545
_cell_length_c 4.545
_cell_angle_alpha 90.00
_cell_angle_beta 90.00
_cell_angle_gamma 90.00
_symmetry_space_group_name_H-M 'P m -3 m'
_symmetry_Int_Tables_number 221
_symmetry_space_group_name_Hall '-P 4 2 3'
loop_
_atom_site_label
_atom_site_fract_x
_atom_site_fract_y
_atom_site_fract_z
Al1 0.000 0.000 0.000
W1 0.000 0.000 0.500
F1 0.500 0.500 0.500
```

=====

[10]
First-principles (PBEsol) data for NiP2 after structural relaxation, as listed in the Alexandria database.

Properties
- Theoretical density: 4.71 Mg/m³
- Magnetic moment: 0.00 μB per atom
- Formation energy from the elements: -0.406 eV per atom
- Calculated volume: 42 Å³/f.u.

Structure (CIF):
```
data_NiP2
_chemical_formula_sum 'Ni4 P8'
_cell_length_a 6.306
_cell_length_b 5.567
_cell_length_c 5.577
_cell_angle_alpha 90.00
_cell_angle_beta 119.76
_cell_angle_gamma 90.00
_symmetry_space_group_name_H-M 'C 1 2/c 1'
_symmetry_Int_Tables_number 15
_symmetry_space_group_name_Hall '-C 2yc'
loop_
_atom_site_label
_atom_site_fract_x
_atom_site_fract_y
_atom_site_fract_z
Ni1 0.250 0.250 0.000
P1 0.201 0.113 0.335
```

=====

[11]
First-principles (PBEsol) data for MnSi2HgSe after structural relaxation, as listed in the Alexandria database.

Properties
- Theoretical density: 5.38 Mg/m³
- Magnetic moment: 0.90 μB per atom
- E_form (uncorrected): 1.16 eV per atom
- Calculated volume: 121 Å³/f.u.

Structure (CIF):
```
data_MnSi2HgSe
_chemical_formula_sum 'Mn1 Si2 Hg1 Se1'
_cell_length_a 4.874
_cell_length_b 4.874
_cell_length_c 5.078
_cell_angle_alpha 90.00
_cell_angle_beta 90.00
_cell_angle_gamma 90.00
_symmetry_space_group_name_H-M 'P 4/m m m'
_symmetry_Int_Tables_number 123
_symmetry_space_group_name_Hall '-P 4 2'
loop_
_atom_site_label
_atom_site_fract_x
_atom_site_fract_y
_atom_site_fract_z
Mn1 0.000 0.000 0.000
Si1 0.000 0.500 0.500
Hg1 0.000 0.000 0.500
Se1 0.500 0.500 0.000
```

=====

[12]
First-principles (PBEsol) data for La2Hg after structural relaxation, as listed in the Alexandria database.

Properties
- Theoretical density: 8.58 Mg/m³
- Magnetic moment: 0.00 μB per atom
- Formation energy from the elements: -0.288 eV per atom
- Calculated volume: 93 Å³/f.u.

Structure (CIF):
```
data_La2Hg
_chemical_formula_sum 'La8 Hg4'
_cell_length_a 12.069
_cell_length_b 3.656
_cell_length_c 8.407
_cell_angle_alpha 90.00
_cell_angle_beta 93.32
_cell_angle_gamma 90.00
_symmetry_space_group_name_H-M 'C 1 m 1'
_symmetry_Int_Tables_number 8
_symmetry_space_group_name_Hall 'C -2y'
loop_
_atom_site_label
_atom_site_fract_x
_atom_site_fract_y
_atom_site_fract_z
La1 0.000 0.000 0.000
La2 0.085 0.000 0.580
La3 0.240 0.500 0.913
La4 0.339 0.000 0.300
Hg1 0.121 0.500 0.272
Hg2 0.380 0.000 0.684
```

=====

[13]
First-principles (PBEsol) data for MnIn2Hg after structural relaxation, as listed in the Alexandria database.

Properties
- Theoretical density: 9.86 Mg/m³
- Magnetic moment: 0.83 μB per atom
- Formation energy from the elements: 0.232 eV per atom
- Calculated volume: 82 Å³/f.u.

Structure (CIF):
```
data_MnIn2Hg
_chemical_formula_sum 'Mn3 In6 Hg3'
_cell_length_a 3.2038
_cell_length_b 3.2038
_cell_length_c 27.5767
_cell_angle_alpha 90.00
_cell_angle_beta 90.00
_cell_angle_gamma 120.00
_symmetry_space_group_name_H-M 'R -3 m'
_symmetry_Int_Tables_number 166
_symmetry_space_group_name_Hall '-R 3 2"'
loop_
_atom_site_label
_atom_site_fract_x
_atom_site_fract_y
_atom_site_fract_z
Mn1 0.0000 0.0000 0.0000
In1 0.0000 0.0000 0.2574
Hg1 0.0000 0.0000 0.5000
```

=====

[14]
First-principles (PBEsol) data for YNiTe after structural relaxation, as listed in the Alexandria database.

Properties
- Theoretical density: 7.14 Mg/m³
- Magnetic moment: 0.00 μB per atom
- E_form (uncorrected): -0.47 eV per atom
- Calculated volume: 64 Å³/f.u.

Structure (CIF):
```
data_YNiTe
_chemical_formula_sum 'Y2 Ni2 Te2'
_cell_length_a 3.867
_cell_length_b 3.867
_cell_length_c 8.560
_cell_angle_alpha 90.00
_cell_angle_beta 90.00
_cell_angle_gamma 90.00
_symmetry_space_group_name_H-M 'I 4 m m'
_symmetry_Int_Tables_number 107
_symmetry_space_group_name_Hall 'I 4 -2'
loop_
_atom_site_label
_atom_site_fract_x
_atom_site_fract_y
_atom_site_fract_z
Y1 0.000 0.000 0.000
Ni1 0.000 0.000 0.354
Te1 0.000 0.000 0.657
```

=====

[15]
First-principles (PBEsol) data for TcAs2Os after structural relaxation, as listed in the Alexandria database.

Properties
- Theoretical density: 10.93 Mg/m³
- Magnetic moment: 0.00 μB per atom
- Formation energy from the elements: 0.382 eV per atom
- Calculated volume: 67 Å³/f.u.

Structure (CIF):
```
data_TcAs2Os
_chemical_formula_sum 'Tc2 As4 Os2'
_cell_length_a 2.843
_cell_length_b 4.827
_cell_length_c 9.701
_cell_angle_alpha 90.00
_cell_angle_beta 90.00
_cell_angle_gamma 90.00
_symmetry_space_group_name_H-M 'C m m 2'
_symmetry_Int_Tables_number 35
_symmetry_space_group_name_Hall 'C 2 -2'
loop_
_atom_site_label
_atom_site_fract_x
_atom_site_fract_y
_atom_site_fract_z
Tc1 0.000 0.000 0.000
As1 0.000 0.000 0.444
As2 0.000 0.500 0.785
Os1 0.000 0.500 0.228
```

=====

[16]
First-principles (PBEsol) data for AlInAs after structural relaxation, as listed in the Alexandria database.

Properties
- Theoretical density: 5.87 Mg/m³
- Magnetic moment: 0.00 μB per atom
- Formation energy from the elements: 0.074 eV per atom
- Calculated volume: 61 Å³/f.u.

Structure (CIF):
```
data_AlInAs
_chemical_formula_sum 'Al2 In2 As2'
_cell_length_a 3.301
_cell_length_b 3.301
_cell_length_c 11.250
_cell_angle_alpha 90.00
_cell_angle_beta 90.00
_cell_angle_gamma 90.00
_symmetry_space_group_name_H-M 'I 4 m m'
_symmetry_Int_Tables_number 107
_symmetry_space_group_name_Hall 'I 4 -2'
loop_
_atom_site_label
_atom_site_fract_x
_atom_site_fract_y
_atom_site_fract_z
Al1 0.000 0.000 0.000
In1 0.000 0.000 0.687
As1 0.000 0.000 0.385
```

=====

[17]
First-principles (PBEsol) data for Mn2NiPt after structural relaxation, as listed in the Alexandria database.

Properties
- Theoretical density: 11.45 Mg/m³
- Magnetic moment: 2.12 μB per atom
- Formation energy from the elements: -0.050 eV per atom
- Calculated volume: 53 Å³/f.u.

Structure (CIF):
```
data_Mn2NiPt
_chemical_formula_sum 'Mn4 Ni2 Pt2'
_cell_length_a 3.958
_cell_length_b 3.958
_cell_length_c 6.733
_cell_angle_alpha 90.00
_cell_angle_beta 90.00
_cell_angle_gamma 90.00
_symmetry_space_group_name_H-M 'I 4/m m m'
_symmetry_Int_Tables_number 139
_symmetry_space_group_name_Hall '-I 4 2'
loop_
_atom_site_label
_atom_site_fract_x
_atom_site_fract_y
_atom_site_fract_z
Mn1 0.000 0.500 0.250
Ni1 0.000 0.000 0.000
Pt1 0.000 0.000 0.500
```

=====

[18]
First-principles (PBEsol) data for SrReIrSe2 after structural relaxation, as listed in the Alexandria database.

Properties
- Theoretical density: 7.14 Mg/m³
- Magnetic moment: 0.55 μB per atom
- E_form (uncorrected): 2.36 eV per atom
- Calculated volume: 145 Å³/f.u.

Structure (CIF):
```
data_SrReIrSe2
_chemical_formula_sum 'Sr1 Re1 Ir1 Se2'
_cell_length_a 5.394
_cell_length_b 5.394
_cell_length_c 4.988
_cell_angle_alpha 90.00
_cell_angle_beta 90.00
_cell_angle_gamma 90.00
_symmetry_space_group_name_H-M 'P 4/m m m'
_symmetry_Int_Tables_number 123
_symmetry_space_group_name_Hall '-P 4 2'
loop_
_atom_site_label
_atom_site_fract_x
_atom_site_fract_y
_atom_site_fract_z
Sr1 0.000 0.000 0.000
Re1 0.500 0.500 0.500
Ir1 0.000 0.000 0.500
Se1 0.000 0.500 0.000
```

=====

[19]
First-principles (PBEsol) data for Be3PbBr after structural relaxation, as listed in the Alexandria database.

Properties
- Theoretical density: 4.86 Mg/m³
- Magnetic moment: 0.00 μB per atom
- E_form (uncorrected): 1.04 eV per atom
- Calculated volume: 107 Å³/f.u.

Structure (CIF):
```
data_Be3PbBr
_chemical_formula_sum 'Be3 Pb1 Br1'
_cell_length_a 4.752
_cell_length_b 4.752
_cell_length_c 4.752
_cell_angle_alpha 90.00
_cell_angle_beta 90.00
_cell_angle_gamma 90.00
_symmetry_space_group_name_H-M 'P m -3 m'
_symmetry_Int_Tables_number 221
_symmetry_space_group_name_Hall '-P 4 2 3'
loop_
_atom_site_label
_atom_site_fract_x
_atom_site_fract_y
_atom_site_fract_z
Be1 0.000 0.000 0.500
Pb1 0.000 0.000 0.000
Br1 0.500 0.500 0.500
```

=====

[20]
First-principles (PBEsol) data for NiPIrCl2 after structural relaxation, as listed in the Alexandria database.

Properties
- Theoretical density: 5.61 Mg/m³
- Magnetic moment: 0.19 μB per atom
- E_form (uncorrected): 0.81 eV per atom
- Calculated volume: 104 Å³/f.u.

Structure (CIF):
```
data_NiPIrCl2
_chemical_formula_sum 'Ni1 P1 Ir1 Cl2'
_cell_length_a 4.868
_cell_length_b 4.868
_cell_length_c 4.403
_cell_angle_alpha 90.00
_cell_angle_beta 90.00
_cell_angle_gamma 90.00
_symmetry_space_group_name_H-M 'P 4/m m m'
_symmetry_Int_Tables_number 123
_symmetry_space_group_name_Hall '-P 4 2'
loop_
_atom_site_label
_atom_site_fract_x
_atom_site_fract_y
_atom_site_fract_z
Ni1 0.000 0.000 0.000
P1 0.500 0.500 0.000
Ir1 0.500 0.500 0.500
Cl1 0.000 0.500 0.500
```